Material: Ba2NaSn
Method: DFT, PBE-GGA
State: relaxed

Unit cell a=4.076 b=4.076 c=13.950 alpha=81.60 beta=81.60 gamma=60.00
Fractional positions:
Na 0.500 0.500 0.500
Ba 0.084 0.084 0.748
Ba 0.916 0.916 0.252
Sn 0.000 0.000 0.000

Results
Energy of formation ... 0.231 eV per atom
Total energy ... -8.244 eV per cell